No. 1
# Mg4Ta2Fe, optimized geometry, DFT PBE
# energy of formation from the pure elements = 103.6 kJ/mol of atoms
# mass density = 5.18 g cm⁻³
# crystal system = tetragonal
data_Mg4Ta2Fe
_chemical_formula_sum 'Mg8 Ta4 Fe2'
_cell_length_a 4.9159
_cell_length_b 4.9159
_cell_length_c 13.6632
_cell_angle_alpha 90.00
_cell_angle_beta 90.00
_cell_angle_gamma 90.00
_space_group_name_H-M_alt 'I 4/m m m'
_space_group_IT_number 139
_space_group_name_Hall '-I 4 2'
loop_
_atom_site_label
_atom_site_type_symbol
_atom_site_fract_x
_atom_site_fract_y
_atom_site_fract_z
Mg1 Mg 0.0000 0.0000 0.1856
Mg2 Mg 0.0000 0.5000 0.0000
Ta1 Ta 0.0000 0.0000 0.4080
Fe1 Fe 0.0000 0.0000 0.0000

***

No. 2
# MgTa2Fe, optimized geometry, DFT PBE
# energy of formation from the pure elements = 30.3 kJ/mol of atoms
# mass density = 11.07 g cm⁻³
# crystal system = tetragonal
data_MgTa2Fe
_chemical_formula_sum 'Mg1 Ta2 Fe1'
_cell_length_a 3.9844
_cell_length_b 3.9844
_cell_length_c 4.1757
_cell_angle_alpha 90.00
_cell_angle_beta 90.00
_cell_angle_gamma 90.00
_space_group_name_H-M_alt 'P 4/m m m'
_space_group_IT_number 123
_space_group_name_Hall '-P 4 2'
loop_
_atom_site_label
_atom_site_type_symbol
_atom_site_fract_x
_atom_site_fract_y
_atom_site_fract_z
Mg1 Mg 0.0000 0.0000 0.0000
Ta1 Ta 0.0000 0.5000 0.5000
Fe1 Fe 0.5000 0.5000 0.0000

***

No. 3
# MgTa2Fe, optimized geometry, DFT PBE
# energy of formation from the pure elements = 16.6 kJ/mol of atoms
# mass density = 11.18 g cm⁻³
# crystal system = orthorhombic
data_MgTa2Fe
_chemical_formula_sum 'Mg2 Ta4 Fe2'
_cell_length_a 3.1360
_cell_length_b 4.6244
_cell_length_c 9.0548
_cell_angle_alpha 90.00
_cell_angle_beta 90.00
_cell_angle_gamma 90.00
_space_group_name_H-M_alt 'I m m m'
_space_group_IT_number 71
_space_group_name_Hall '-I 2 2'
loop_
_atom_site_label
_atom_site_type_symbol
_atom_site_fract_x
_atom_site_fract_y
_atom_site_fract_z
Mg1 Mg 0.0000 0.0000 0.0000
Ta1 Ta 0.0000 0.5000 0.2205
Fe1 Fe 0.0000 0.0000 0.5000

***

No. 4
# MgTaFe2, optimized geometry, DFT PBE
# energy of formation from the pure elements = 17.3 kJ/mol of atoms
# mass density = 8.80 g cm⁻³
# crystal system = orthorhombic
data_MgTaFe2
_chemical_formula_sum 'Mg2 Ta2 Fe4'
_cell_length_a 3.3342
_cell_length_b 4.3484
_cell_length_c 8.2488
_cell_angle_alpha 90.00
_cell_angle_beta 90.00
_cell_angle_gamma 90.00
_space_group_name_H-M_alt 'C m m m'
_space_group_IT_number 65
_space_group_name_Hall '-C 2 2'
loop_
_atom_site_label
_atom_site_type_symbol
_atom_site_fract_x
_atom_site_fract_y
_atom_site_fract_z
Mg1 Mg 0.0000 0.0000 0.0000
Ta1 Ta 0.0000 0.0000 0.5000
Fe1 Fe 0.0000 0.5000 0.2559

***

No. 5
# MgTaFe3, optimized geometry, DFT PBE
# excess energy over the best structure of this formula in the dataset = 1.396 eV/f.u.
# energy of formation from the pure elements = 142.8 kJ/mol of atoms
# mass density = 7.98 g cm⁻³
# crystal system = cubic
data_MgTaFe3
_chemical_formula_sum 'Mg1 Ta1 Fe3'
_cell_length_a 4.2650
_cell_length_b 4.2650
_cell_length_c 4.2650
_cell_angle_alpha 90.00
_cell_angle_beta 90.00
_cell_angle_gamma 90.00
_space_group_name_H-M_alt 'P m -3 m'
_space_group_IT_number 221
_space_group_name_Hall '-P 4 2 3'
loop_
_atom_site_label
_atom_site_type_symbol
_atom_site_fract_x
_atom_site_fract_y
_atom_site_fract_z
Mg1 Mg 0.0000 0.0000 0.0000
Ta1 Ta 0.5000 0.5000 0.5000
Fe1 Fe 0.0000 0.0000 0.5000

***

No. 6
# MgTaFe2, optimized geometry, DFT PBE
# energy of formation from the pure elements = 13.2 kJ/mol of atoms
# mass density = 9.12 g cm⁻³
# crystal system = monoclinic
data_MgTaFe2
_chemical_formula_sum 'Mg2 Ta2 Fe4'
_cell_length_a 9.9721
_cell_length_b 2.9482
_cell_length_c 4.3464
_cell_angle_alpha 90.00
_cell_angle_beta 115.45
_cell_angle_gamma 90.00
_space_group_name_H-M_alt 'C 1 m 1'
_space_group_IT_number 8
loop_
_space_group_symop_operation_xyz
'x,y,z'
'x,-y,z'
'x+1/2,y+1/2,z'
'x+1/2,-y+1/2,z'
loop_
_atom_site_label
_atom_site_type_symbol
_atom_site_fract_x
_atom_site_fract_y
_atom_site_fract_z
Mg1 Mg 0.0000 0.0000 0.0000
Ta1 Ta 0.2198 0.0000 0.7180
Fe1 Fe 0.2556 0.5000 0.2539
Fe2 Fe 0.4685 0.0000 0.4687

***

No. 7
# MgTa2Fe, optimized geometry, DFT PBE
# energy of formation from the pure elements = 27.3 kJ/mol of atoms
# mass density = 10.70 g cm⁻³
# crystal system = trigonal
data_MgTa2Fe
_chemical_formula_sum 'Mg3 Ta6 Fe3'
_cell_length_a 2.9402
_cell_length_b 2.9402
_cell_length_c 27.4958
_cell_angle_alpha 90.00
_cell_angle_beta 90.00
_cell_angle_gamma 120.00
_space_group_name_H-M_alt 'R -3 m'
_space_group_IT_number 166
_space_group_name_Hall '-R 3 2"'
loop_
_atom_site_label
_atom_site_type_symbol
_atom_site_fract_x
_atom_site_fract_y
_atom_site_fract_z
Mg1 Mg 0.0000 0.0000 0.0000
Ta1 Ta 0.0000 0.0000 0.2389
Fe1 Fe 0.0000 0.0000 0.5000

***

No. 8
# MgTaFe, optimized geometry, DFT PBE
# excess energy over the best structure of this formula in the dataset = 0.224 eV/f.u.
# energy of formation from the pure elements = 28.7 kJ/mol of atoms
# mass density = 8.76 g cm⁻³
# crystal system = tetragonal
data_MgTaFe
_chemical_formula_sum 'Mg2 Ta2 Fe2'
_cell_length_a 2.7767
_cell_length_b 2.7767
_cell_length_c 12.8328
_cell_angle_alpha 90.00
_cell_angle_beta 90.00
_cell_angle_gamma 90.00
_space_group_name_H-M_alt 'I 4 m m'
_space_group_IT_number 107
_space_group_name_Hall 'I 4 -2'
loop_
_atom_site_label
_atom_site_type_symbol
_atom_site_fract_x
_atom_site_fract_y
_atom_site_fract_z
Mg1 Mg 0.0000 0.0000 0.0000
Ta1 Ta 0.0000 0.0000 0.3092
Fe1 Fe 0.0000 0.0000 0.6560

***

No. 9
# MgTa2Fe, optimized geometry, DFT PBE
# energy of formation from the pure elements = 24.8 kJ/mol of atoms
# mass density = 11.18 g cm⁻³
# crystal system = monoclinic
data_MgTa2Fe
_chemical_formula_sum 'Mg1 Ta2 Fe1'
_cell_length_a 2.9444
_cell_length_b 3.8929
_cell_length_c 5.7966
_cell_angle_alpha 90.00
_cell_angle_beta 98.90
_cell_angle_gamma 90.00
_space_group_name_H-M_alt 'P 1 2/m 1'
_space_group_IT_number 10
loop_
_space_group_symop_operation_xyz
'x,y,z'
'-x,-y,-z'
'-x,y,-z'
'x,-y,z'
loop_
_atom_site_label
_atom_site_type_symbol
_atom_site_fract_x
_atom_site_fract_y
_atom_site_fract_z
Mg1 Mg 0.0000 0.0000 0.0000
Ta1 Ta 0.4336 0.5000 0.7198
Fe1 Fe 0.0000 0.0000 0.5000

***

No. 10
# MgTa2Fe, optimized geometry, DFT PBE
# energy of formation from the pure elements = 10.9 kJ/mol of atoms
# mass density = 10.94 g cm⁻³
# crystal system = tetragonal
data_MgTa2Fe
_chemical_formula_sum 'Mg1 Ta2 Fe1'
_cell_length_a 3.0502
_cell_length_b 3.0502
_cell_length_c 7.2093
_cell_angle_alpha 90.00
_cell_angle_beta 90.00
_cell_angle_gamma 90.00
_space_group_name_H-M_alt 'P 4 m m'
_space_group_IT_number 99
loop_
_space_group_symop_operation_xyz
'x,y,z'
'-y,x,z'
'-x,-y,z'
'y,-x,z'
'-x,y,z'
'y,x,z'
'x,-y,z'
'-y,-x,z'
loop_
_atom_site_label
_atom_site_type_symbol
_atom_site_fract_x
_atom_site_fract_y
_atom_site_fract_z
Mg1 Mg 0.0000 0.0000 0.0000
Ta1 Ta 0.0000 0.0000 0.5823
Ta2 Ta 0.5000 0.5000 0.3039
Fe1 Fe 0.5000 0.5000 0.7604

***

No. 11
# MgTaFe, optimized geometry, DFT PBE
# excess energy over the best structure of this formula in the dataset = 0.101 eV/f.u.
# energy of formation from the pure elements = 24.8 kJ/mol of atoms
# mass density = 9.23 g cm⁻³
# crystal system = trigonal
data_MgTaFe
_chemical_formula_sum 'Mg1 Ta1 Fe1'
_cell_length_a 4.4352
_cell_length_b 4.4352
_cell_length_c 2.7584
_cell_angle_alpha 90.00
_cell_angle_beta 90.00
_cell_angle_gamma 120.00
_space_group_name_H-M_alt 'P 3 m 1'
_space_group_IT_number 156
loop_
_space_group_symop_operation_xyz
'x,y,z'
'-y,x-y,z'
'-x+y,-x,z'
'-y,-x,z'
'-x+y,y,z'
'x,x-y,z'
loop_
_atom_site_label
_atom_site_type_symbol
_atom_site_fract_x
_atom_site_fract_y
_atom_site_fract_z
Mg1 Mg 0.0000 0.0000 0.0000
Ta1 Ta 0.3333 0.6667 0.4379
Fe1 Fe 0.6667 0.3333 0.6986

***

No. 12
# MgTa2Fe, optimized geometry, DFT PBE
# energy of formation from the pure elements = 50.4 kJ/mol of atoms
# mass density = 10.26 g cm⁻³
# crystal system = tetragonal
data_MgTa2Fe
_chemical_formula_sum 'Mg4 Ta8 Fe4'
_cell_length_a 7.2905
_cell_length_b 7.2905
_cell_length_c 5.3822
_cell_angle_alpha 90.00
_cell_angle_beta 90.00
_cell_angle_gamma 90.00
_space_group_name_H-M_alt 'I -4 2 d'
_space_group_IT_number 122
_space_group_name_Hall 'I -4 2bw'
loop_
_atom_site_label
_atom_site_type_symbol
_atom_site_fract_x
_atom_site_fract_y
_atom_site_fract_z
Mg1 Mg 0.0000 0.0000 0.0000
Ta1 Ta 0.1886 0.2500 0.6250
Fe1 Fe 0.0000 0.0000 0.5000

***

No. 13
# MgTaFe, optimized geometry, DFT PBE
# excess energy over the best structure of this formula in the dataset = 0.980 eV/f.u.
# energy of formation from the pure elements = 53.0 kJ/mol of atoms
# mass density = 8.30 g cm⁻³
# crystal system = cubic
data_MgTaFe
_chemical_formula_sum 'Mg4 Ta4 Fe4'
_cell_length_a 5.9337
_cell_length_b 5.9337
_cell_length_c 5.9337
_cell_angle_alpha 90.00
_cell_angle_beta 90.00
_cell_angle_gamma 90.00
_space_group_name_H-M_alt 'F -4 3 m'
_space_group_IT_number 216
_space_group_name_Hall 'F -4 2 3'
loop_
_atom_site_label
_atom_site_type_symbol
_atom_site_fract_x
_atom_site_fract_y
_atom_site_fract_z
Mg1 Mg 0.0000 0.0000 0.0000
Ta1 Ta 0.0000 0.0000 0.5000
Fe1 Fe 0.2500 0.2500 0.7500

***

No. 14
# MgTaFe3, optimized geometry, DFT PBE
# excess energy over the best structure of this formula in the dataset = 0.000 eV/f.u.
# energy of formation from the pure elements = 115.8 kJ/mol of atoms
# mass density = 6.54 g cm⁻³
# crystal system = cubic
data_MgTaFe3
_chemical_formula_sum 'Mg1 Ta1 Fe3'
_cell_length_a 4.5579
_cell_length_b 4.5579
_cell_length_c 4.5579
_cell_angle_alpha 90.00
_cell_angle_beta 90.00
_cell_angle_gamma 90.00
_space_group_name_H-M_alt 'P m -3 m'
_space_group_IT_number 221
_space_group_name_Hall '-P 4 2 3'
loop_
_atom_site_label
_atom_site_type_symbol
_atom_site_fract_x
_atom_site_fract_y
_atom_site_fract_z
Mg1 Mg 0.0000 0.0000 0.0000
Ta1 Ta 0.5000 0.5000 0.5000
Fe1 Fe 0.0000 0.5000 0.5000

***

No. 15
# MgTaFe2, optimized geometry, DFT PBE
# energy of formation from the pure elements = 31.9 kJ/mol of atoms
# mass density = 8.98 g cm⁻³
# crystal system = cubic
data_MgTaFe2
_chemical_formula_sum 'Mg4 Ta4 Fe8'
_cell_length_a 6.1649
_cell_length_b 6.1649
_cell_length_c 6.1649
_cell_angle_alpha 90.00
_cell_angle_beta 90.00
_cell_angle_gamma 90.00
_space_group_name_H-M_alt 'F -4 3 m'
_space_group_IT_number 216
_space_group_name_Hall 'F -4 2 3'
loop_
_atom_site_label
_atom_site_type_symbol
_atom_site_fract_x
_atom_site_fract_y
_atom_site_fract_z
Mg1 Mg 0.0000 0.0000 0.0000
Ta1 Ta 0.2500 0.2500 0.2500
Fe1 Fe 0.0000 0.0000 0.5000
Fe2 Fe 0.2500 0.2500 0.7500

***

No. 16
# Mg3TaFe, optimized geometry, DFT PBE
# energy of formation from the pure elements = 110.2 kJ/mol of atoms
# mass density = 5.28 g cm⁻³
# crystal system = cubic
data_Mg3TaFe
_chemical_formula_sum 'Mg3 Ta1 Fe1'
_cell_length_a 4.6022
_cell_length_b 4.6022
_cell_length_c 4.6022
_cell_angle_alpha 90.00
_cell_angle_beta 90.00
_cell_angle_gamma 90.00
_space_group_name_H-M_alt 'P m -3 m'
_space_group_IT_number 221
_space_group_name_Hall '-P 4 2 3'
loop_
_atom_site_label
_atom_site_type_symbol
_atom_site_fract_x
_atom_site_fract_y
_atom_site_fract_z
Mg1 Mg 0.0000 0.0000 0.5000
Ta1 Ta 0.5000 0.5000 0.5000
Fe1 Fe 0.0000 0.0000 0.0000

***

No. 17
# MgTaTi2Fe, optimized geometry, DFT PBE
# energy of formation from the pure elements = 99.1 kJ/mol of atoms
# mass density = 5.64 g cm⁻³
# crystal system = tetragonal
data_MgTaTi2Fe
_chemical_formula_sum 'Mg1 Ta1 Ti2 Fe1'
_cell_length_a 4.8481
_cell_length_b 4.8481
_cell_length_c 4.4678
_cell_angle_alpha 90.00
_cell_angle_beta 90.00
_cell_angle_gamma 90.00
_space_group_name_H-M_alt 'P 4/m m m'
_space_group_IT_number 123
_space_group_name_Hall '-P 4 2'
loop_
_atom_site_label
_atom_site_type_symbol
_atom_site_fract_x
_atom_site_fract_y
_atom_site_fract_z
Mg1 Mg 0.0000 0.0000 0.0000
Ta1 Ta 0.5000 0.5000 0.5000
Ti1 Ti 0.0000 0.5000 0.5000
Fe1 Fe 0.5000 0.5000 0.0000

***

No. 18
# TbMgFe, optimized geometry, DFT PBE
# energy of formation from the pure elements = 1.4 kJ/mol of atoms
# mass density = 6.09 g cm⁻³
# crystal system = monoclinic
data_TbMgFe
_chemical_formula_sum 'Tb4 Mg4 Fe4'
_cell_length_a 13.4849
_cell_length_b 3.8034
_cell_length_c 5.2188
_cell_angle_alpha 90.00
_cell_angle_beta 103.00
_cell_angle_gamma 90.00
_space_group_name_H-M_alt 'C 1 2/m 1'
_space_group_IT_number 12
loop_
_space_group_symop_operation_xyz
'x,y,z'
'-x,-y,-z'
'-x,y,-z'
'x,-y,z'
'x+1/2,y+1/2,z'
'-x+1/2,-y+1/2,-z'
'-x+1/2,y+1/2,-z'
'x+1/2,-y+1/2,z'
loop_
_atom_site_label
_atom_site_type_symbol
_atom_site_fract_x
_atom_site_fract_y
_atom_site_fract_z
Tb1 Tb 0.1420 0.0000 0.3314
Mg1 Mg 0.0777 0.5000 0.7922
Fe1 Fe 0.2350 0.0000 0.9057

***

No. 19
# Tb3MgFe8, optimized geometry, DFT PBE
# energy of formation from the pure elements = -3.4 kJ/mol of atoms
# mass density = 8.41 g cm⁻³
# crystal system = trigonal
data_Tb3MgFe8
_chemical_formula_sum 'Tb9 Mg3 Fe24'
_cell_length_a 5.0939
_cell_length_b 5.0939
_cell_length_c 24.9797
_cell_angle_alpha 90.00
_cell_angle_beta 90.00
_cell_angle_gamma 120.00
_space_group_name_H-M_alt 'R 3 m'
_space_group_IT_number 160
_space_group_name_Hall 'R 3 -2"'
loop_
_atom_site_label
_atom_site_type_symbol
_atom_site_fract_x
_atom_site_fract_y
_atom_site_fract_z
Tb1 Tb 0.0000 0.0000 0.0000
Tb2 Tb 0.0000 0.0000 0.1268
Tb3 Tb 0.0000 0.0000 0.5056
Mg1 Mg 0.0000 0.0000 0.6286
Fe1 Fe 0.0000 0.0000 0.3155
Fe2 Fe 0.0000 0.0000 0.8148
Fe3 Fe 0.1672 0.3344 0.3970
Fe4 Fe 0.1670 0.3339 0.8997

***

No. 20
# Tb4Mg5Fe2, optimized geometry, DFT PBE
# energy of formation from the pure elements = -0.9 kJ/mol of atoms
# mass density = 5.29 g cm⁻³
# crystal system = monoclinic
data_Tb4Mg5Fe2
_chemical_formula_sum 'Tb4 Mg5 Fe2'
_cell_length_a 7.9068
_cell_length_b 3.6712
_cell_length_c 9.4518
_cell_angle_alpha 90.00
_cell_angle_beta 95.70
_cell_angle_gamma 90.00
_space_group_name_H-M_alt 'P 1 2/m 1'
_space_group_IT_number 10
loop_
_space_group_symop_operation_xyz
'x,y,z'
'-x,-y,-z'
'-x,y,-z'
'x,-y,z'
loop_
_atom_site_label
_atom_site_type_symbol
_atom_site_fract_x
_atom_site_fract_y
_atom_site_fract_z
Tb1 Tb 0.1731 0.0000 0.3300
Tb2 Tb 0.2144 0.0000 0.9381
Mg1 Mg 0.1651 0.5000 0.6380
Mg2 Mg 0.4515 0.5000 0.1702
Mg3 Mg 0.5000 0.5000 0.5000
Fe1 Fe 0.0590 0.5000 0.1174